Record 1
{"formula": "DySi4Pt6", "functional": "PBE", "state": "relaxed", "lattice": [[-3.351, 3.351, 4.280], [3.351, -3.351, 4.280], [3.351, 3.351, -4.280]], "species": ["Dy", "Si", "Si", "Si", "Si", "Pt", "Pt", "Pt", "Pt", "Pt", "Pt"], "fractional_positions": [[0.000, 0.000, 0.000], [0.146, 0.557, 0.000], [0.443, 0.443, 0.589], [0.557, 0.146, 0.000], [0.854, 0.854, 0.411], [0.000, 0.500, 0.500], [0.212, 0.212, 0.696], [0.484, 0.788, 0.000], [0.500, 0.000, 0.500], [0.516, 0.516, 0.304], [0.788, 0.484, 0.000]], "m_tot_mub_per_cell": 0.0, "formation_energy_uncorrected_kj_per_mol_atoms": -69.7}


Record 2
{"formula": "BC4", "functional": "PBE", "state": "relaxed", "lattice": [[-1.256, 1.256, 9.632], [1.256, -1.256, 9.632], [1.256, 1.256, -9.632]], "species": ["B", "B", "C", "C", "C", "C", "C", "C", "C", "C"], "fractional_positions": [[0.102, 0.102, 0.000], [0.898, 0.898, 0.000], [0.157, 0.657, 0.500], [0.297, 0.297, 0.000], [0.343, 0.843, 0.500], [0.500, 0.500, 0.000], [0.546, 0.046, 0.500], [0.703, 0.703, 0.000], [0.750, 0.250, 0.500], [0.954, 0.454, 0.500]], "formation_energy_ev_per_fu": 1.21, "m_tot_mub_per_cell": 0.0}


Record 3
{"formula": "CaSm2CdN", "functional": "PBE", "state": "relaxed", "lattice": [[4.964, 0.000, 0.000], [0.000, 4.964, 0.000], [0.000, 0.000, 4.936]], "species": ["Ca", "Sm", "Sm", "Cd", "N"], "fractional_positions": [[0.000, 0.000, 0.000], [0.000, 0.500, 0.500], [0.500, 0.000, 0.500], [0.500, 0.500, 0.000], [0.000, 0.000, 0.500]], "m_tot_mub_per_cell": 0.0, "formation_energy_uncorrected_kj_per_mol_atoms": -66.2}


Record 4
{"formula": "Rb2AlCd3Sn4", "functional": "PBE", "state": "relaxed", "lattice": [[4.877, 0.000, 0.000], [0.000, 4.877, 0.000], [0.000, 0.000, 12.682]], "species": ["Rb", "Rb", "Al", "Cd", "Cd", "Cd", "Sn", "Sn", "Sn", "Sn"], "fractional_positions": [[0.000, 0.500, 0.244], [0.500, 0.000, 0.756], [0.500, 0.500, 0.000], [0.000, 0.000, 0.000], [0.000, 0.500, 0.644], [0.500, 0.000, 0.356], [0.000, 0.000, 0.500], [0.000, 0.500, 0.873], [0.500, 0.000, 0.127], [0.500, 0.500, 0.500]], "formation_energy_ev_per_fu": -1.22, "m_tot_mub_per_cell": 0.0}


Record 5
{"formula": "YRu2Pt", "functional": "PBE", "state": "relaxed", "lattice": [[-2.055, 2.055, 4.026], [2.055, -2.055, 4.026], [2.055, 2.055, -4.026]], "species": ["Y", "Ru", "Ru", "Pt"], "fractional_positions": [[0.000, 0.000, 0.000], [0.500, 0.500, 0.000], [0.750, 0.250, 0.500], [0.250, 0.750, 0.500]], "formation_energy_ev_per_fu": -0.67, "m_tot_mub_per_cell": 0.0}


Record 6
{"formula": "Rb3NbI", "functional": "PBE", "state": "relaxed", "lattice": [[6.881, 0.000, 0.000], [0.000, 6.881, 0.000], [0.000, 0.000, 6.881]], "species": ["Rb", "Rb", "Rb", "Nb", "I"], "fractional_positions": [[0.000, 0.000, 0.500], [0.000, 0.500, 0.000], [0.500, 0.000, 0.000], [0.500, 0.500, 0.500], [0.000, 0.000, 0.000]], "m_tot_mub_per_cell": 5.0, "formation_energy_uncorrected_kj_per_mol_atoms": 50.7}